1.
12
Lattice="-2.050 3.964 6.085 2.050 -3.964 6.085 2.050 3.964 -6.085" Properties=species:S:1:pos:R:3 comment="LiPd5Au6 (PBE, relaxed)" de_polymorph_ev_per_atom=0.000 n_ef_per_ev_atom=0.5619 delta_e_f_kj_per_mol_atoms=-16.8 space_group="Immm (71)" pbc="T T T"
Li 0.000 0.000 0.000
Pd 2.050 0.000 1.996
Pd 0.000 0.000 4.051
Pd 0.000 3.964 0.000
Pd 0.000 0.000 8.120
Pd 0.000 3.964 4.089
Au 2.050 -1.993 4.070
Au 2.050 1.961 0.000
Au 0.000 1.971 2.015
Au 2.050 1.993 4.070
Au 0.000 2.004 6.085
Au 0.000 5.958 2.015

---

2.
14
Lattice="-3.790 3.790 3.944 3.790 -3.790 3.944 3.790 3.790 -3.944" Properties=species:S:1:pos:R:3 comment="Li8PdAu5 (PBE, relaxed)" n_ef_per_ev_atom=0.3761 delta_e_f_kj_per_mol_atoms=-38.5 space_group="I-4 (82)" pbc="T T T"
Li 5.172 0.703 0.103
Li 3.288 2.528 -1.379
Li 0.703 2.408 -0.103
Li 0.502 1.262 2.565
Li 1.262 -0.502 5.323
Li 3.087 1.382 3.841
Li 2.528 4.292 1.379
Li -1.382 3.087 4.047
Pd 0.000 0.000 0.000
Au 2.148 -0.915 2.689
Au 2.876 1.642 1.255
Au 1.642 4.705 -1.255
Au 0.000 3.790 1.972
Au 0.915 2.148 5.199

---

3.
19
Lattice="5.974 3.449 2.748 -5.974 3.449 2.748 0.000 -6.898 2.748" Properties=species:S:1:pos:R:3 comment="Li6PdAu12 (PBE, relaxed)" de_polymorph_ev_per_atom=0.000 n_ef_per_ev_atom=0.2047 delta_e_f_kj_per_mol_atoms=-33.9 space_group="R-3 (148)" pbc="T T T"
Li -2.085 -0.452 2.088
Li 1.434 -1.580 2.088
Li 0.651 2.032 2.088
Li -0.651 -2.032 6.154
Li -1.434 1.580 6.154
Li 2.085 0.452 6.154
Pd 0.000 0.000 4.121
Au -1.792 -5.095 3.327
Au -5.309 -0.996 4.916
Au -0.919 -2.497 3.527
Au -3.517 4.100 3.327
Au -2.622 -0.453 4.716
Au -1.703 2.044 3.527
Au 1.703 -2.044 4.716
Au 2.622 0.453 3.527
Au 3.517 -4.100 4.916
Au 0.919 2.497 4.716
Au 5.309 0.996 3.327
Au 1.792 5.095 4.916

---

4.
18
Lattice="6.783 -3.217 0.000 6.783 3.217 0.000 0.000 0.000 6.536" Properties=species:S:1:pos:R:3 comment="Li5Pd2Au2 (PBE, relaxed)" n_ef_per_ev_atom=0.1789 delta_e_f_kj_per_mol_atoms=-32.4 space_group="Cmce (64)" pbc="T T T"
Li 0.000 0.000 0.000
Li 4.939 2.210 4.291
Li 4.939 1.007 1.024
Li 8.627 2.210 4.291
Li 8.627 1.007 1.024
Li 6.783 0.000 3.268
Li 4.939 -1.007 5.512
Li 4.939 -2.210 2.244
Li 8.627 -1.007 5.512
Li 8.627 -2.210 2.244
Pd 6.783 2.281 2.308
Pd 6.783 0.935 5.576
Pd 6.783 -0.935 0.960
Pd 6.783 -2.281 4.228
Au 2.727 0.000 0.000
Au 4.055 0.000 3.268
Au 9.510 0.000 3.268
Au 10.838 0.000 0.000

---

5.
12
Lattice="4.909 0.000 0.000 0.000 5.712 0.000 -0.031 0.000 6.963" Properties=species:S:1:pos:R:3 comment="LiPd6Au5 (PBE, relaxed)" n_ef_per_ev_atom=0.7123 delta_e_f_kj_per_mol_atoms=-15.6 space_group="P2/m (10)" pbc="T T T"
Li 0.000 0.000 0.000
Pd 0.817 1.412 2.302
Pd 0.817 4.300 2.302
Pd 2.454 1.407 0.000
Pd 2.454 4.305 0.000
Pd 4.061 1.412 4.661
Pd 4.061 4.300 4.661
Au 0.000 2.856 0.000
Au 1.589 0.000 4.681
Au 1.604 2.856 4.653
Au 3.274 2.856 2.310
Au 3.289 0.000 2.282

---

6.
11
Lattice="-2.019 4.148 5.939 2.019 -4.148 5.939 2.019 4.148 -5.939" Properties=species:S:1:pos:R:3 comment="Li2PdAu8 (PBE, relaxed)" de_polymorph_ev_per_atom=0.042 n_ef_per_ev_atom=0.2053 delta_e_f_kj_per_mol_atoms=-20.4 space_group="Immm (71)" pbc="T T T"
Li 0.000 0.000 1.876
Li 0.000 0.000 10.002
Pd 0.000 0.000 5.939
Au 2.019 2.040 -1.932
Au 0.000 2.071 0.000
Au 2.019 0.000 3.850
Au 2.019 2.040 1.932
Au 0.000 2.108 4.007
Au 0.000 4.148 2.089
Au 0.000 6.225 0.000
Au 0.000 2.108 7.872

---

7.
11
Lattice="-1.433 4.126 7.197 1.433 -4.126 7.197 1.433 4.126 -7.197" Properties=species:S:1:pos:R:3 comment="Li4Pd4Au3 (PBE, relaxed)" de_polymorph_ev_per_atom=0.108 n_ef_per_ev_atom=0.3083 delta_e_f_kj_per_mol_atoms=-26.8 space_group="Immm (71)" pbc="T T T"
Li 1.433 -2.162 4.819
Li 0.000 1.964 2.378
Li 1.433 2.162 4.819
Li 0.000 6.288 2.378
Pd 1.433 0.000 2.946
Pd 0.000 2.475 0.000
Pd 0.000 5.776 0.000
Pd 0.000 4.126 4.250
Au 1.433 0.000 0.000
Au 0.000 0.000 5.350
Au 0.000 0.000 9.044

---

8.
16
Lattice="2.151 -4.780 0.000 2.151 4.780 0.000 0.000 0.000 13.242" Properties=species:S:1:pos:R:3 comment="Li2PdAu5 (PBE, relaxed)" de_polymorph_ev_per_atom=0.107 n_ef_per_ev_atom=0.2687 delta_e_f_kj_per_mol_atoms=-25.7 space_group="Cmcm (63)" pbc="T T T"
Li 2.151 2.562 8.367
Li 2.151 2.562 11.496
Li 2.151 -2.562 1.746
Li 2.151 -2.562 4.875
Pd 2.151 2.341 3.310
Pd 2.151 -2.341 9.931
Au 2.151 4.078 1.238
Au 2.151 4.078 5.382
Au 2.151 1.220 0.722
Au 2.151 1.220 5.899
Au 2.151 0.396 9.931
Au 2.151 -0.396 3.310
Au 2.151 -1.220 7.342
Au 2.151 -1.220 12.520
Au 2.151 -4.078 7.859
Au 2.151 -4.078 12.003

---

9.
9
Lattice="5.983 -2.013 0.000 5.983 2.013 0.000 -1.968 0.000 5.998" Properties=species:S:1:pos:R:3 comment="Li2Pd3Au4 (PBE, relaxed)" de_polymorph_ev_per_atom=0.015 n_ef_per_ev_atom=0.2151 delta_e_f_kj_per_mol_atoms=-29.5 space_group="C2/m (12)" pbc="T T T"
Li 1.908 0.000 0.003
Li 8.090 0.000 5.995
Pd 3.979 0.000 1.962
Pd 5.983 0.000 0.000
Pd 6.018 0.000 4.036
Au -0.003 0.000 1.957
Au 1.960 0.000 4.118
Au 8.038 0.000 1.879
Au 10.000 0.000 4.041

---

10.
8
Lattice="4.833 0.000 0.000 0.000 2.924 4.878 0.000 -2.924 4.878" Properties=species:S:1:pos:R:3 comment="LiPdAu6 (PBE, relaxed)" de_polymorph_ev_per_atom=0.000 n_ef_per_ev_atom=0.3867 delta_e_f_kj_per_mol_atoms=-19.9 space_group="Amm2 (38)" pbc="T T T"
Li 0.000 0.000 0.000
Pd 2.416 0.000 3.219
Au 0.000 -1.448 2.448
Au 0.000 1.448 2.448
Au 0.000 0.000 4.874
Au 2.416 -1.481 5.650
Au 2.416 0.000 8.104
Au 2.416 1.481 5.650

---

11.
14
Lattice="5.475 0.000 0.000 2.656 6.645 0.000 2.669 0.998 6.571" Properties=species:S:1:pos:R:3 comment="LiPd4Au2 (PBE, relaxed)" de_polymorph_ev_per_atom=0.196 n_ef_per_ev_atom=0.7560 delta_e_f_kj_per_mol_atoms=-1.2 space_group="P1 (1)" pbc="T T T"
Li 0.000 0.000 0.000
Li 2.730 0.175 0.156
Pd 1.322 1.787 1.535
Pd 6.781 5.961 5.123
Pd 4.147 1.792 1.540
Pd 5.457 1.633 4.211
Pd 5.458 4.405 0.982
Pd 8.152 3.426 5.742
Pd 8.151 6.192 2.529
Pd 9.431 5.972 5.139
Au 2.723 1.279 3.862
Au 2.722 4.014 0.690
Au 4.098 3.919 3.368
Au 6.813 3.899 3.355

---

12.
18
Lattice="4.986 0.000 0.000 0.078 7.487 0.000 2.391 2.497 8.134" Properties=species:S:1:pos:R:3 comment="Li2PdAu6 (PBE, relaxed)" de_polymorph_ev_per_atom=0.000 n_ef_per_ev_atom=0.3791 delta_e_f_kj_per_mol_atoms=-28.4 space_group="P-1 (2)" pbc="T T T"
Li 0.897 4.143 1.751
Li 3.324 7.372 4.500
Li 4.130 2.612 3.633
Li 6.557 5.841 6.382
Pd 1.729 6.764 0.937
Pd 5.725 3.220 7.197
Au 1.644 3.700 4.490
Au 3.246 4.412 8.104
Au 1.663 1.458 2.756
Au 3.227 2.122 6.293
Au 4.083 7.031 7.224
Au 3.315 5.169 2.709
Au 4.139 4.815 5.424
Au 3.372 2.953 0.910
Au 4.227 7.862 1.841
Au 5.791 8.526 5.378
Au 4.209 5.572 0.030
Au 5.810 6.284 3.643

---

13.
12
Lattice="4.677 0.000 0.000 0.000 5.669 0.000 -0.629 0.000 6.839" Properties=species:S:1:pos:R:3 comment="Li6PdAu5 (PBE, relaxed)" n_ef_per_ev_atom=0.2522 delta_e_f_kj_per_mol_atoms=-50.2 space_group="P2/m (10)" pbc="T T T"
Li 0.000 1.399 0.000
Li 0.000 4.270 0.000
Li 1.127 1.405 4.589
Li 1.127 4.265 4.589
Li 2.920 1.405 2.249
Li 2.920 4.265 2.249
Pd 2.338 0.000 0.000
Au 0.590 0.000 2.261
Au 0.591 2.835 2.291
Au 2.338 2.835 0.000
Au 3.457 0.000 4.578
Au 3.456 2.835 4.548

---

14.
12
Lattice="5.438 -2.698 0.000 5.438 2.698 0.000 -1.638 0.000 7.157" Properties=species:S:1:pos:R:3 comment="Li4Pd3Au5 (PBE, relaxed)" n_ef_per_ev_atom=0.4428 delta_e_f_kj_per_mol_atoms=-17.4 space_group="C2/m (12)" pbc="T T T"
Li 1.172 0.000 2.407
Li 1.130 0.000 7.103
Li 8.109 0.000 0.054
Li 8.067 0.000 4.750
Pd 0.000 0.000 0.000
Pd 3.912 0.000 2.306
Pd 5.327 0.000 4.851
Au -0.153 0.000 4.862
Au 2.576 0.000 4.674
Au 5.438 0.000 0.000
Au 6.663 0.000 2.483
Au 9.392 0.000 2.296

---

15.
12
Lattice="3.519 -3.865 0.000 3.519 3.865 0.000 -1.456 0.000 6.982" Properties=species:S:1:pos:R:3 comment="LiPd3Au2 (PBE, relaxed)" de_polymorph_ev_per_atom=0.000 n_ef_per_ev_atom=0.7887 delta_e_f_kj_per_mol_atoms=-17.9 space_group="C2/c (15)" pbc="T T T"
Li 2.427 3.232 5.236
Li 3.155 -3.232 1.745
Pd 0.210 0.605 6.961
Pd 0.938 -0.605 3.470
Pd 2.427 0.742 5.236
Pd 3.155 -0.742 1.745
Pd 4.644 0.605 3.512
Pd 5.372 -0.605 0.021
Au 2.093 1.900 2.609
Au 4.217 1.900 0.882
Au 1.365 -1.900 6.100
Au 3.489 -1.900 4.373

---

16.
14
Lattice="6.800 0.000 0.000 -2.364 6.378 0.000 -2.366 -3.083 5.585" Properties=species:S:1:pos:R:3 comment="LiPd2Au4 (PBE, relaxed)" de_polymorph_ev_per_atom=0.109 n_ef_per_ev_atom=0.3290 delta_e_f_kj_per_mol_atoms=-12.3 space_group="P1 (1)" pbc="T T T"
Li 0.000 0.000 0.000
Li 1.025 -0.724 4.186
Pd -0.745 3.346 1.236
Pd -1.355 1.989 5.391
Pd 1.821 2.419 2.050
Pd 4.388 -1.148 2.464
Au -2.683 3.491 3.349
Au -1.378 -0.797 4.971
Au -0.537 0.989 2.823
Au 1.787 -0.304 1.812
Au 0.189 3.664 3.876
Au 4.169 1.220 0.902
Au 3.514 4.034 0.489
Au 3.167 0.903 4.074

---

17.
19
Lattice="6.186 3.571 2.304 -6.186 3.571 2.304 0.000 -7.143 2.304" Properties=species:S:1:pos:R:3 comment="LiPd12Au6 (PBE, relaxed)" n_ef_per_ev_atom=1.3204 delta_e_f_kj_per_mol_atoms=-9.2 space_group="R-3 (148)" pbc="T T T"
Li 0.000 0.000 0.000
Pd -0.311 -4.368 2.288
Pd -3.628 2.454 2.288
Pd -0.637 -1.474 2.280
Pd -3.939 -1.915 4.624
Pd -0.958 1.289 2.280
Pd 1.595 0.185 2.280
Pd -1.595 -0.185 4.632
Pd 0.958 -1.289 4.632
Pd 3.939 1.915 2.288
Pd 0.637 1.474 4.632
Pd 3.628 -2.454 4.624
Pd 0.311 4.368 4.624
Au -3.243 -0.366 2.314
Au 1.938 -2.626 2.314
Au -1.305 -2.992 4.598
Au 1.305 2.992 2.314
Au -1.938 2.626 4.598
Au 3.243 0.366 4.599

---

18.
15
Lattice="9.804 0.000 0.000 -4.902 8.491 0.000 0.000 0.000 2.819" Properties=species:S:1:pos:R:3 comment="Li8Pd6Au (PBE, relaxed)" n_ef_per_ev_atom=0.5235 delta_e_f_kj_per_mol_atoms=-27.1 space_group="P-3 (147)" pbc="T T T"
Li -2.967 6.484 0.811
Li 0.771 2.679 0.811
Li 2.706 0.672 2.008
Li 0.000 5.660 2.092
Li 4.902 2.830 0.727
Li 2.196 7.818 0.811
Li 4.132 5.811 2.008
Li 7.869 2.007 2.008
Pd -1.309 4.126 0.678
Pd -0.674 7.561 0.678
Pd 2.919 3.197 2.141
Pd 1.983 5.294 0.678
Pd 5.576 0.930 2.141
Pd 6.211 4.364 2.141
Au 0.000 0.000 0.000

---

19.
6
Lattice="2.440 -4.218 0.000 2.440 4.218 0.000 -1.742 0.000 4.557" Properties=species:S:1:pos:R:3 comment="LiPdAu (PBE, relaxed)" de_polymorph_ev_per_atom=0.003 n_ef_per_ev_atom=0.3336 delta_e_f_kj_per_mol_atoms=-41.5 space_group="C2 (5)" pbc="T T T"
Li 0.000 0.000 0.000
Li 2.440 -1.416 0.000
Pd 1.569 2.786 2.278
Pd 1.569 -2.843 2.278
Au 2.440 1.433 0.000
Au 1.569 -0.053 2.278